[1]
Computed, not measured: crystalline Sr2Cu2SnPt5 at its relaxed geometry at the PBE level of DFT.

Values from the calculation:
- Total magnetic moment: 0.00 μB/f.u.
- Calculated formation energy: -0.576 eV per atom
- Electronic total energy: -5.152 eV per atom

Cell: 9.745 9.745 3.922 Å, 90.00 90.00 90.00°
Space group P4/mbm (No. 127)
Asymmetric unit:
1 Sr 0.176 0.324 0.000
2 Cu 0.122 0.622 0.000
3 Sn 0.000 0.000 0.000
4 Pt 0.000 0.500 0.500
5 Pt 0.064 0.788 0.500


[2]
Computed, not measured: crystalline SrCuSn2Pt4 at its relaxed geometry at the PBE level of DFT.

Values from the calculation:
- Total magnetic moment: 0.00 μB/f.u.
- Calculated formation energy: -0.530 eV per atom
- Electronic total energy: -5.273 eV per atom

Cell: 4.4834 4.4834 27.9269 Å, 90.00 90.00 120.00°
Space group R-3m (No. 166, hexagonal axes)
Asymmetric unit:
1 Sr 0.0000 0.0000 0.0000
2 Cu 0.0000 0.0000 0.5000
3 Sn 0.0000 0.0000 0.2382
4 Pt 0.0000 0.0000 0.1384
5 Pt 0.0000 0.0000 0.4079


[3]
Computed, not measured: crystalline Sr2CuSn3Pt4 at its relaxed geometry at the PBE level of DFT.

Values from the calculation:
- Total magnetic moment: 0.00 μB/f.u.
- Calculated formation energy: -0.698 eV per atom
- Electronic total energy: -5.061 eV per atom

Cell: 4.656 4.656 10.549 Å, 90.00 90.00 90.00°
Space group P-4m2 (No. 115)
Asymmetric unit:
1 Sr 0.000 0.500 0.245
2 Cu 0.500 0.500 0.000
3 Sn 0.000 0.000 0.000
4 Sn 0.000 0.500 0.627
5 Pt 0.000 0.000 0.500
6 Pt 0.000 0.500 0.877
7 Pt 0.500 0.500 0.500


Which of these has the lowest electronic total energy?
SrCuSn2Pt4